A plane-wave DFT calculation with GGA-PBEsol was carried out for crystalline BeCd2O at its relaxed geometry.

density of states at the Fermi level	0.0465	states/eV per atom
total magnetization	0.00	μB per formula unit
V	16.44	Å³ per atom
ΔE_f (raw)	-0.07	eV/f.u.
symmetry	No. 122

abc: 5.594 5.594 5.594
angles: 99.09 114.90 114.90
Fractional coordinates of all 8 atoms:
Be  0.500  0.250  0.750
Be  0.000  0.500  0.500
O  0.500  0.750  0.250
O  0.000  0.000  0.000
Cd  0.031  0.656  0.125
Cd  0.969  0.094  0.625
Cd  0.531  0.875  0.906
Cd  0.469  0.375  0.344